DFT (GGA-PBE) results for a relaxed BaHfBi2 crystal.

Cell lengths 4.471, 4.471, 24.053 Å; angles 90.00, 90.00, 120.00 degrees
Sites, in units of the cell vectors:
1 Ba 0.000 0.000 0.000
2 Ba 0.333 0.667 0.667
3 Ba 0.667 0.333 0.333
4 Hf 0.000 0.000 0.500
5 Hf 0.333 0.667 0.167
6 Hf 0.667 0.333 0.833
7 Bi 0.000 0.000 0.234
8 Bi 0.000 0.000 0.766
9 Bi 0.333 0.667 0.433
10 Bi 0.333 0.667 0.900
11 Bi 0.667 0.333 0.100
12 Bi 0.667 0.333 0.567

Properties
- DFT total energy: -5.39 eV per atom
- Symmetry: No. 166
- DOS at the Fermi energy: 0.25 states/eV per atom
- Offset from the most stable computed form: 0.000 eV per atom
- M_tot: 0.000 μB per formula unit

DFT (GGA-PBE) results for a relaxed BaHfBi2 crystal.

Cell lengths 7.932, 7.932, 7.932 Å; angles 90.00, 90.00, 90.00 degrees
Sites, in units of the cell vectors:
1 Ba 0.000 0.000 0.000
2 Ba 0.000 0.500 0.500
3 Ba 0.500 0.000 0.500
4 Ba 0.500 0.500 0.000
5 Hf 0.000 0.000 0.500
6 Hf 0.000 0.500 0.000
7 Hf 0.500 0.000 0.000
8 Hf 0.500 0.500 0.500
9 Bi 0.250 0.250 0.250
10 Bi 0.250 0.250 0.750
11 Bi 0.250 0.750 0.250
12 Bi 0.250 0.750 0.750
13 Bi 0.750 0.250 0.250
14 Bi 0.750 0.250 0.750
15 Bi 0.750 0.750 0.250
16 Bi 0.750 0.750 0.750

Properties
- DFT total energy: -5.00 eV per atom
- Symmetry: No. 225
- DOS at the Fermi energy: 1.09 states/eV per atom
- Offset from the most stable computed form: 0.390 eV per atom
- M_tot: 0.424 μB per formula unit

DFT (GGA-PBE) results for a relaxed Ba3HfBi crystal.

Cell lengths 6.668, 6.668, 6.668 Å; angles 90.00, 90.00, 90.00 degrees
Sites, in units of the cell vectors:
1 Ba 0.000 0.000 0.500
2 Ba 0.000 0.500 0.000
3 Ba 0.500 0.000 0.000
4 Hf 0.500 0.500 0.500
5 Bi 0.000 0.000 0.000

Properties
- DFT total energy: -3.38 eV per atom
- Symmetry: No. 221
- DOS at the Fermi energy: 3.59 states/eV per atom
- M_tot: 4.922 μB per formula unit

DFT (GGA-PBE) results for a relaxed BaHfBi3 crystal.

Cell lengths 6.075, 6.075, 6.075 Å; angles 90.00, 90.00, 90.00 degrees
Sites, in units of the cell vectors:
1 Ba 0.000 0.000 0.000
2 Hf 0.500 0.500 0.500
3 Bi 0.000 0.000 0.500
4 Bi 0.000 0.500 0.000
5 Bi 0.500 0.000 0.000

Properties
- DFT total energy: -3.29 eV per atom
- Symmetry: No. 221
- DOS at the Fermi energy: 1.46 states/eV per atom
- Offset from the most stable computed form: 1.849 eV per atom
- M_tot: 0.001 μB per formula unit

DFT (GGA-PBE) results for a relaxed BaHfHgBi2 crystal.

Cell lengths 5.698, 5.698, 5.595 Å; angles 90.00, 90.00, 90.00 degrees
Sites, in units of the cell vectors:
1 Ba 0.000 0.000 0.000
2 Hf 0.500 0.500 0.500
3 Hg 0.500 0.500 0.000
4 Bi 0.000 0.500 0.500
5 Bi 0.500 0.000 0.500

Properties
- DFT total energy: -4.30 eV per atom
- Symmetry: No. 123
- DOS at the Fermi energy: 0.72 states/eV per atom
- M_tot: 0.000 μB per formula unit

DFT (GGA-PBE) results for a relaxed BaLi2HfBi crystal.

Cell lengths 5.315, 5.315, 5.728 Å; angles 90.00, 90.00, 90.00 degrees
Sites, in units of the cell vectors:
1 Ba 0.000 0.000 0.000
2 Li 0.000 0.500 0.500
3 Li 0.500 0.000 0.500
4 Hf 0.500 0.500 0.000
5 Bi 0.500 0.500 0.500

Properties
- DFT total energy: -3.72 eV per atom
- Symmetry: No. 123
- DOS at the Fermi energy: 0.95 states/eV per atom
- M_tot: 0.390 μB per formula unit

DFT (GGA-PBE) results for a relaxed BaHfBiN2 crystal.

Cell lengths 4.758, 4.758, 5.473 Å; angles 90.00, 90.00, 90.00 degrees
Sites, in units of the cell vectors:
1 Ba 0.000 0.000 0.000
2 Hf 0.500 0.500 0.000
3 Bi 0.500 0.500 0.500
4 N 0.000 0.500 0.500
5 N 0.500 0.000 0.500

Properties
- DFT total energy: -4.88 eV per atom
- Formation energy without anion corrections: 154.2 kJ/mol of atoms
- Symmetry: No. 123
- DOS at the Fermi energy: 1.11 states/eV per atom
- Offset from the most stable computed form: 0.859 eV per atom
- M_tot: 0.002 μB per formula unit

DFT (GGA-PBE) results for a relaxed BaHfBiN2 crystal.

Cell lengths 4.437, 4.437, 6.587 Å; angles 90.00, 90.00, 90.00 degrees
Sites, in units of the cell vectors:
1 Ba 0.000 0.000 0.000
2 Hf 0.000 0.000 0.500
3 Bi 0.500 0.500 0.000
4 N 0.000 0.500 0.500
5 N 0.500 0.000 0.500

Properties
- DFT total energy: -5.74 eV per atom
- Formation energy without anion corrections: 71.3 kJ/mol of atoms
- Symmetry: No. 123
- DOS at the Fermi energy: 0.93 states/eV per atom
- Offset from the most stable computed form: 0.000 eV per atom
- M_tot: 1.620 μB per formula unit

DFT (GGA-PBE) results for a relaxed BaNaHfBiO6 crystal.

Cell lengths 5.932, 5.932, 5.932 Å; angles 60.00, 60.00, 60.00 degrees
Sites, in units of the cell vectors:
1 Ba 0.000 0.000 0.000
2 Na 0.500 0.500 0.500
3 Hf 0.750 0.750 0.750
4 Bi 0.250 0.250 0.250
5 O 0.503 0.503 0.997
6 O 0.503 0.997 0.503
7 O 0.503 0.997 0.997
8 O 0.997 0.503 0.503
9 O 0.997 0.503 0.997
10 O 0.997 0.997 0.503

Properties
- DFT total energy: -6.89 eV per atom
- Formation energy without anion corrections: -212.7 kJ/mol of atoms
- Symmetry: No. 216
- M_tot: 0.000 μB per formula unit

DFT (GGA-PBE) results for a relaxed BaHf2Bi2O7 crystal.

Cell lengths 12.553, 12.553, 12.553 Å; angles 161.42, 27.26, 160.22 degrees
Sites, in units of the cell vectors:
1 Ba 0.000 0.000 0.000
2 Hf 0.420 0.007 0.413
3 Hf 0.593 0.007 0.587
4 Bi 0.202 0.508 0.694
5 Bi 0.814 0.508 0.306
6 O 0.104 0.505 0.599
7 O 0.336 0.008 0.329
8 O 0.420 0.496 0.923
9 O 0.529 0.029 0.500
10 O 0.573 0.496 0.077
11 O 0.679 0.008 0.671
12 O 0.906 0.505 0.401

Properties
- DFT total energy: -7.79 eV per atom
- Formation energy without anion corrections: -234.5 kJ/mol of atoms
- Symmetry: No. 44
- DOS at the Fermi energy: 0.02 states/eV per atom
- M_tot: 0.000 μB per formula unit

DFT (GGA-PBE) results for a relaxed BaHfBiO6 crystal.

Cell lengths 5.711, 5.711, 11.281 Å; angles 90.00, 90.00, 120.00 degrees
Sites, in units of the cell vectors:
1 Ba 0.000 0.000 0.000
2 Ba 0.000 0.000 0.500
3 Hf 0.333 0.667 0.250
4 Hf 0.667 0.333 0.750
5 Bi 0.333 0.667 0.750
6 Bi 0.667 0.333 0.250
7 O 0.006 0.389 0.147
8 O 0.006 0.617 0.353
9 O 0.383 0.389 0.353
10 O 0.383 0.994 0.147
11 O 0.389 0.006 0.647
12 O 0.389 0.383 0.853
13 O 0.611 0.617 0.147
14 O 0.611 0.994 0.353
15 O 0.617 0.006 0.853
16 O 0.617 0.611 0.647
17 O 0.994 0.383 0.647
18 O 0.994 0.611 0.853

Properties
- DFT total energy: -7.09 eV per atom
- Formation energy without anion corrections: -196.5 kJ/mol of atoms
- Symmetry: No. 163
- DOS at the Fermi energy: 0.97 states/eV per atom
- M_tot: 1.100 μB per formula unit

DFT (GGA-PBE) results for a relaxed BaHfBiPd2 crystal.

Cell lengths 4.989, 4.989, 6.207 Å; angles 90.00, 90.00, 90.00 degrees
Sites, in units of the cell vectors:
1 Ba 0.000 0.000 0.000
2 Hf 0.000 0.000 0.500
3 Bi 0.500 0.500 0.000
4 Pd 0.000 0.500 0.500
5 Pd 0.500 0.000 0.500

Properties
- DFT total energy: -4.82 eV per atom
- Symmetry: No. 123
- DOS at the Fermi energy: 0.73 states/eV per atom
- M_tot: 0.000 μB per formula unit

DFT (GGA-PBE) results for a relaxed BaHfBiSb2 crystal.

Cell lengths 6.053, 6.053, 5.445 Å; angles 90.00, 90.00, 90.00 degrees
Sites, in units of the cell vectors:
1 Ba 0.000 0.000 0.000
2 Hf 0.500 0.500 0.000
3 Bi 0.500 0.500 0.500
4 Sb 0.000 0.500 0.500
5 Sb 0.500 0.000 0.500

Properties
- DFT total energy: -4.36 eV per atom
- Formation energy without anion corrections: 42.9 kJ/mol of atoms
- Symmetry: No. 123
- DOS at the Fermi energy: 1.46 states/eV per atom
- M_tot: 0.002 μB per formula unit

DFT (GGA-PBE) results for a relaxed Ba2HfTiBi crystal.

Cell lengths 6.609, 6.609, 5.502 Å; angles 90.00, 90.00, 90.00 degrees
Sites, in units of the cell vectors:
1 Ba 0.000 0.500 0.000
2 Ba 0.500 0.000 0.000
3 Hf 0.000 0.000 0.500
4 Ti 0.500 0.500 0.500
5 Bi 0.000 0.000 0.000

Properties
- DFT total energy: -4.13 eV per atom
- Symmetry: No. 123
- DOS at the Fermi energy: 2.70 states/eV per atom
- M_tot: 2.192 μB per formula unit

DFT (GGA-PBE) results for a relaxed BaYHf2Bi crystal.

Cell lengths 5.366, 5.366, 6.061 Å; angles 90.00, 90.00, 90.00 degrees
Sites, in units of the cell vectors:
1 Ba 0.000 0.000 0.000
2 Y 0.000 0.000 0.500
3 Hf 0.000 0.500 0.500
4 Hf 0.500 0.000 0.500
5 Bi 0.500 0.500 0.000

Properties
- DFT total energy: -5.26 eV per atom
- Symmetry: No. 123
- DOS at the Fermi energy: 1.14 states/eV per atom
- M_tot: 0.000 μB per formula unit

DFT (GGA-PBE) results for a relaxed BaHgBi3 crystal.

Cell lengths 10.270, 5.827, 12.098 Å; angles 90.00, 90.00, 90.00 degrees
Sites, in units of the cell vectors:
1 Ba 0.238 0.250 0.022
2 Ba 0.262 0.750 0.522
3 Ba 0.738 0.250 0.478
4 Ba 0.762 0.750 0.978
5 Hg 0.072 0.750 0.116
6 Hg 0.428 0.250 0.616
7 Hg 0.572 0.750 0.384
8 Hg 0.928 0.250 0.884
9 Bi 0.059 0.250 0.648
10 Bi 0.093 0.250 0.375
11 Bi 0.099 0.750 0.841
12 Bi 0.401 0.250 0.341
13 Bi 0.407 0.750 0.875
14 Bi 0.441 0.750 0.148
15 Bi 0.559 0.250 0.852
16 Bi 0.593 0.250 0.125
17 Bi 0.599 0.750 0.659
18 Bi 0.901 0.250 0.159
19 Bi 0.907 0.750 0.625
20 Bi 0.941 0.750 0.352

Properties
- DFT total energy: -3.09 eV per atom
- Symmetry: No. 62
- DOS at the Fermi energy: 0.50 states/eV per atom
- Offset from the most stable computed form: 0.021 eV per atom
- M_tot: 0.000 μB per formula unit

DFT (GGA-PBE) results for a relaxed BaHg2Bi3 crystal.

Cell lengths 7.770, 6.857, 7.789 Å; angles 90.00, 90.76, 90.00 degrees
Sites, in units of the cell vectors:
1 Ba 0.164 0.250 0.336
2 Ba 0.836 0.750 0.664
3 Hg 0.240 0.000 0.739
4 Hg 0.240 0.500 0.739
5 Hg 0.760 0.000 0.261
6 Hg 0.760 0.500 0.261
7 Bi 0.080 0.750 0.135
8 Bi 0.364 0.750 0.419
9 Bi 0.481 0.750 0.019
10 Bi 0.519 0.250 0.981
11 Bi 0.636 0.250 0.581
12 Bi 0.920 0.250 0.865

Properties
- DFT total energy: -2.61 eV per atom
- Symmetry: No. 11
- DOS at the Fermi energy: 0.37 states/eV per atom
- Offset from the most stable computed form: 0.000 eV per atom
- M_tot: 0.000 μB per formula unit

DFT (GGA-PBE) results for a relaxed BaHgBi2 crystal.

Cell lengths 4.919, 4.919, 5.622 Å; angles 90.00, 90.00, 90.00 degrees
Sites, in units of the cell vectors:
1 Ba 0.000 0.000 0.000
2 Hg 0.500 0.500 0.000
3 Bi 0.000 0.500 0.500
4 Bi 0.500 0.000 0.500

Properties
- DFT total energy: -2.97 eV per atom
- Symmetry: No. 123
- DOS at the Fermi energy: 0.74 states/eV per atom
- M_tot: 0.000 μB per formula unit

DFT (GGA-PBE) results for a relaxed BaHg6Bi crystal.

Cell lengths 5.064, 8.522, 11.159 Å; angles 90.00, 90.00, 90.00 degrees
Sites, in units of the cell vectors:
1 Ba 0.000 0.000 0.000
2 Ba 0.000 0.500 0.500
3 Hg 0.000 0.195 0.294
4 Hg 0.000 0.305 0.794
5 Hg 0.000 0.695 0.794
6 Hg 0.000 0.805 0.294
7 Hg 0.500 0.000 0.222
8 Hg 0.500 0.000 0.782
9 Hg 0.500 0.205 0.495
10 Hg 0.500 0.295 0.995
11 Hg 0.500 0.500 0.282
12 Hg 0.500 0.500 0.722
13 Hg 0.500 0.705 0.995
14 Hg 0.500 0.795 0.495
15 Bi 0.000 0.000 0.600
16 Bi 0.000 0.500 0.100

Properties
- DFT total energy: -1.18 eV per atom
- Symmetry: No. 38
- DOS at the Fermi energy: 0.30 states/eV per atom
- Offset from the most stable computed form: 0.000 eV per atom
- M_tot: 0.000 μB per formula unit

DFT (GGA-PBE) results for a relaxed BaHgBi2 crystal.

Cell lengths 5.580, 5.580, 17.698 Å; angles 90.00, 90.00, 120.00 degrees
Sites, in units of the cell vectors:
1 Ba 0.000 0.000 0.000
2 Ba 0.333 0.667 0.667
3 Ba 0.667 0.333 0.333
4 Hg 0.000 0.000 0.500
5 Hg 0.333 0.667 0.167
6 Hg 0.667 0.333 0.833
7 Bi 0.000 0.000 0.197
8 Bi 0.000 0.000 0.803
9 Bi 0.333 0.667 0.469
10 Bi 0.333 0.667 0.864
11 Bi 0.667 0.333 0.136
12 Bi 0.667 0.333 0.531

Properties
- DFT total energy: -2.83 eV per atom
- Symmetry: No. 166
- DOS at the Fermi energy: 0.61 states/eV per atom
- M_tot: 0.000 μB per formula unit